Material: BTeCl2
Method: DFT, SCAN
State: PBEsol geometry

## Properties
energy: -14.624 eV/atom
formation energy (no corrections): 535 meV/atom
DOS(E_F): 6.4 states/eV per cell
ρ: 3.80 g/cm3

The structure in POSCAR format:
```
BTeCl2
1.0
-4.3311 -3.0853 3.5150
0.8179 -6.1712 1.3708
1.4117 -1.7821 5.9551
B Te Cl
2 2 4
direct
0.5000 0.5000 0.5000
0.7500 0.7500 0.7500
0.0000 0.0000 0.0000
0.2500 0.2500 0.2500
0.6250 0.1250 0.6250
0.1250 0.6250 0.6250
0.6250 0.6250 0.1250
0.6250 0.6250 0.6250
```

Material: Re2Cl
Method: DFT, SCAN
State: PBEsol geometry

## Properties
energy: -49.913 eV/atom
formation energy (no corrections): 145 meV/atom
DOS(E_F): 1.5 states/eV per cell
ρ: 12.98 g/cm3
ΔE to the lowest computed polymorph: 0 meV per atom

The structure in POSCAR format:
```
Re2Cl
1.0
-0.8993 0.8159 -2.6213
2.5681 -2.8470 -1.7671
-5.7957 -6.2440 1.6368
Cl Re
2 4
direct
0.8213 0.7500 0.6425
0.1787 0.2500 0.3575
0.0890 0.7500 0.1780
0.4583 0.7500 0.9166
0.5417 0.2500 0.0834
0.9110 0.2500 0.8220
```

Material: La2CoHg
Method: DFT, SCAN
State: PBEsol geometry

## Properties
energy: -43.153 eV/atom
ΔH_f (0 K): -233 meV per atom
DOS(E_F): 2.8 states/eV per cell
ρ: 8.46 g/cm3

The structure in POSCAR format:
```
La2CoHg
1.0
-2.1559 1.3563 -2.9661
1.1924 -0.5296 -3.6855
-4.2759 -6.6365 -2.5034
Co Hg La
1 1 2
direct
0.0000 0.0000 0.0000
0.5000 0.5000 0.5000
0.7314 0.7314 0.8057
0.2686 0.2686 0.1943
```

Material: Ca3LaCo
Method: DFT, SCAN
State: PBEsol geometry

## Properties
energy: -17.535 eV/atom
ΔH_f (0 K): 344 meV per atom
DOS(E_F): 4.7 states/eV per cell
ρ: 3.37 g/cm3

The structure in POSCAR format:
```
Ca3LaCo
1.0
5.3927 0.0000 0.0000
0.0000 5.3927 0.0000
0.0000 0.0000 5.3927
Ca Co La
3 1 1
direct
0.0000 0.5000 0.0000
0.0000 0.0000 0.5000
0.5000 0.0000 0.0000
0.0000 0.0000 0.0000
0.5000 0.5000 0.5000
```

Material: SiSO2
Method: DFT, SCAN
State: PBEsol geometry

## Properties
energy: -9.750 eV/atom
formation energy (no corrections): -1724 meV/atom
DOS(E_F): 1.1 states/eV per cell
ρ: 2.70 g/cm3

The structure in POSCAR format:
```
SiSO2
1.0
2.6430 0.0000 0.0000
1.3215 2.2889 0.0000
1.3215 0.7630 9.3671
S Si O
1 1 2
direct
0.0000 0.0000 0.0000
0.5000 0.5000 0.5000
0.8662 0.8662 0.4014
0.1338 0.1338 0.5986
```

Material: K2P2H2O7
Method: DFT, SCAN
State: PBEsol geometry

## Properties
energy: -8.935 eV/atom
DOS(E_F): 0.0 states/eV per cell
ρ: 2.30 g/cm3

The structure in POSCAR format:
```
K2P2H2O7
1.0
8.1373 0.0092 0.0113
0.1616 8.1995 0.0341
1.0580 1.3655 10.9965
H K O P
8 8 28 8
direct
0.2657 0.4947 0.1836
0.7343 0.5053 0.8164
0.0927 0.4490 0.1480
0.9073 0.5510 0.8520
0.0657 0.1151 0.3292
0.9343 0.8849 0.6708
0.0117 0.2994 0.3136
0.9883 0.7006 0.6864
0.7547 0.2945 0.0511
0.2453 0.7055 0.9489
0.2872 0.1299 0.0767
0.7128 0.8701 0.9233
0.3778 0.2979 0.4280
0.6222 0.7021 0.5720
0.1804 0.7805 0.4529
0.8196 0.2195 0.5471
0.7737 0.9727 0.1944
0.2263 0.0273 0.8056
0.6874 0.0147 0.4190
0.3126 0.9853 0.5810
0.5239 0.1409 0.2389
0.4761 0.8591 0.7611
0.0710 0.9522 0.2518
0.9290 0.0478 0.7482
0.9775 0.8109 0.0745
0.0225 0.1891 0.9255
0.8873 0.7090 0.3008
0.1127 0.2910 0.6992
0.7016 0.4856 0.4085
0.2984 0.5144 0.5915
0.8966 0.4302 0.2207
0.1034 0.5698 0.7793
0.3538 0.5976 0.2816
0.6462 0.4024 0.7184
0.4514 0.8131 0.0972
0.5486 0.1869 0.9028
0.5242 0.8314 0.3156
0.4758 0.1686 0.6844
0.6546 0.6162 0.1908
0.3454 0.3838 0.8092
0.2125 0.4433 0.1204
0.7875 0.5567 0.8796
0.0712 0.2177 0.3684
0.9288 0.7823 0.6316
0.6255 0.0055 0.2985
0.3745 0.9945 0.7015
0.9431 0.8630 0.1976
0.0569 0.1370 0.8024
0.7852 0.5457 0.2860
0.2148 0.4543 0.7140
0.4810 0.7151 0.2159
0.5190 0.2849 0.7841
```

Question: Which value of energy does entry 4 give?
Answer: -17.535 eV/atom

Question: Among the records above, which one has the highest ρ?
Answer: Re2Cl

Question: Which value of ρ does entry 1 give?
Answer: 3.80 g/cm3